No. 1
Computed, not measured: a geometry-optimized LaCeInHg structure at the PBE-GGA level of DFT.

Properties
Distance to the lowest polymorph of the same formula in eV per atom: 0.000
Space group: P4mm, No. 99

abc: 3.5642 3.5642 9.0148
angles: 90.00 90.00 90.00
Last column: nearest neighbours and their distance in Å.
Fractional positions:
La1 0.0000 0.0000 0.0000  4 Hg 3.40, 4 In 3.43, 4 La 3.56
Ce1 0.0000 0.0000 0.5081  4 Hg 3.31, 4 In 3.38, 4 Ce 3.56
In1 0.5000 0.5000 0.2589  4 Ce 3.38, 4 La 3.43, 4 In 3.56
Hg1 0.5000 0.5000 0.7467  4 Ce 3.31, 4 La 3.40, 4 Hg 3.56

No. 2
Computed, not measured: a geometry-optimized La2CeIn2Hg2 structure at the PBE-GGA level of DFT.

Properties
Space group: R-3m, No. 166

abc: 9.8746 9.8746 9.8746
angles: 29.42 29.42 29.42
Last column: nearest neighbours and their distance in Å.
Fractional positions:
La1 0.1279 0.1279 0.1279  3 In 3.30, 3 Hg 3.54, 1 Ce 3.62, 3 La 3.63
La2 0.8721 0.8721 0.8721  3 In 3.30, 3 Hg 3.54, 1 Ce 3.62, 3 La 3.63
Ce1 0.0000 0.0000 0.0000  6 Hg 3.30, 6 In 3.55, 2 La 3.62
In1 0.2610 0.2610 0.2610  3 Hg 2.93
In2 0.7390 0.7390 0.7390  3 Hg 2.93
Hg1 0.3890 0.3890 0.3890  3 In 2.93
Hg2 0.6110 0.6110 0.6110  3 In 2.93

No. 3
Computed, not measured: a geometry-optimized LaCe2In2Hg2 structure at the PBE-GGA level of DFT.

Properties
Space group: R-3m, No. 166

abc: 9.8663 9.8663 9.8663
angles: 28.44 28.44 28.44
Last column: nearest neighbours and their distance in Å.
Fractional positions:
La1 0.0000 0.0000 0.0000  6 In 3.37
Ce1 0.1443 0.1443 0.1443  3 Ce 3.07, 3 Hg 3.17
Ce2 0.8557 0.8557 0.8557  3 Ce 3.07, 3 Hg 3.17
In1 0.2671 0.2671 0.2671  3 Hg 2.89
In2 0.7329 0.7329 0.7329  3 Hg 2.89
Hg1 0.4254 0.4254 0.4254  3 In 2.89, 3 Ce 3.17
Hg2 0.5746 0.5746 0.5746  3 In 2.89, 3 Ce 3.17

No. 4
Computed, not measured: a geometry-optimized LaCeInHg structure at the PBE-GGA level of DFT.

Properties
Distance to the lowest polymorph of the same formula in eV per atom: 0.020
Space group: F-43m, No. 216

abc: 7.8101 7.8101 7.8101
angles: 90.00 90.00 90.00
Last column: nearest neighbours and their distance in Å.
Fractional positions:
La1 0.0000 0.0000 0.0000  4 In 3.38, 4 Hg 3.38
La2 0.0000 0.5000 0.5000  4 In 3.38, 4 Hg 3.38
La3 0.5000 0.0000 0.5000  4 In 3.38, 4 Hg 3.38
La4 0.5000 0.5000 0.0000  4 In 3.38, 4 Hg 3.38
Ce1 0.0000 0.0000 0.5000  4 Hg 3.38, 4 In 3.38
Ce2 0.0000 0.5000 0.0000  4 Hg 3.38, 4 In 3.38
Ce3 0.5000 0.0000 0.0000  4 Hg 3.38, 4 In 3.38
Ce4 0.5000 0.5000 0.5000  4 Hg 3.38, 4 In 3.38
In1 0.2500 0.2500 0.2500  4 Ce 3.38, 4 La 3.38
In2 0.2500 0.7500 0.7500  4 La 3.38, 4 Ce 3.38
In3 0.7500 0.2500 0.7500  4 La 3.38, 4 Ce 3.38
In4 0.7500 0.7500 0.2500  4 La 3.38, 4 Ce 3.38
Hg1 0.2500 0.2500 0.7500  4 La 3.38, 4 Ce 3.38
Hg2 0.2500 0.7500 0.2500  4 La 3.38, 4 Ce 3.38
Hg3 0.7500 0.2500 0.2500  4 La 3.38, 4 Ce 3.38
Hg4 0.7500 0.7500 0.7500  4 La 3.38, 4 Ce 3.38

No. 5
Computed, not measured: a geometry-optimized LiCeIn2Hg4 structure at the PBE-GGA level of DFT.

Properties
Space group: R-3m, No. 166

abc: 9.0781 9.0781 9.0781
angles: 32.42 32.42 32.42
Last column: nearest neighbours and their distance in Å.
Fractional positions:
Li1 0.0000 0.0000 0.0000  8 Hg 2.96-3.05
Ce1 0.5000 0.5000 0.5000  8 Hg 3.22-3.45, 6 In 3.59
In1 0.2476 0.2476 0.2476  7 Hg 3.02-3.23
In2 0.7524 0.7524 0.7524  7 Hg 3.02-3.23
Hg1 0.1149 0.1149 0.1149  1 Li 2.96, 3 In 3.02, 3 Ce 3.22
Hg2 0.3662 0.3662 0.3662  3 Li 3.05, 4 In 3.06-3.23, 3 Hg 3.38
Hg3 0.6338 0.6338 0.6338  3 Li 3.05, 4 In 3.06-3.23, 3 Hg 3.38
Hg4 0.8851 0.8851 0.8851  1 Li 2.96, 3 In 3.02, 3 Ce 3.22

No. 6
Computed, not measured: a geometry-optimized LiCeInHg structure at the PBE-GGA level of DFT.

Properties
Space group: F-43m, No. 216

abc: 7.3255 7.3255 7.3255
angles: 90.00 90.00 90.00
Last column: nearest neighbours and their distance in Å.
Fractional positions:
Li1 0.0000 0.0000 0.0000  4 In 3.17, 4 Hg 3.17
Li2 0.0000 0.5000 0.5000  4 Hg 3.17, 4 In 3.17
Li3 0.5000 0.0000 0.5000  4 Hg 3.17, 4 In 3.17
Li4 0.5000 0.5000 0.0000  4 Hg 3.17, 4 In 3.17
Ce1 0.0000 0.0000 0.5000  4 Hg 3.17, 4 In 3.17
Ce2 0.0000 0.5000 0.0000  4 Hg 3.17, 4 In 3.17
Ce3 0.5000 0.0000 0.0000  4 Hg 3.17, 4 In 3.17
Ce4 0.5000 0.5000 0.5000  4 Hg 3.17, 4 In 3.17
In1 0.2500 0.2500 0.7500  4 Ce 3.17, 4 Li 3.17
In2 0.2500 0.7500 0.2500  4 Ce 3.17, 4 Li 3.17
In3 0.7500 0.2500 0.2500  4 Ce 3.17, 4 Li 3.17
In4 0.7500 0.7500 0.7500  4 Li 3.17, 4 Ce 3.17
Hg1 0.2500 0.2500 0.2500  4 Ce 3.17, 4 Li 3.17
Hg2 0.2500 0.7500 0.7500  4 Ce 3.17, 4 Li 3.17
Hg3 0.7500 0.2500 0.7500  4 Ce 3.17, 4 Li 3.17
Hg4 0.7500 0.7500 0.2500  4 Ce 3.17, 4 Li 3.17

Number 1: energy relative to the elements -0.4052 eV per atom, magnetic moment 0.243 μB/atom. Number 2: energy relative to the elements -0.3162 eV per atom, magnetic moment 0.194 μB/atom. Number 3: energy relative to the elements -0.2914 eV per atom, magnetic moment 0.314 μB/atom. Number 4: energy relative to the elements -0.3855 eV per atom, magnetic moment 0.473 μB/atom. Number 5: energy relative to the elements -0.2755 eV per atom, magnetic moment 0.120 μB/atom. Number 6: energy relative to the elements -0.3391 eV per atom, magnetic moment 0.216 μB/atom.